No. 1
DFT (PBE-GGA) results for a geometry-optimized Tc12B6Ru structure.

```
19
Lattice="-3.824 3.824 3.824 3.824 -3.824 3.824 3.824 3.824 -3.824" Properties=species:S:1:pos:R:3 pbc="T T T"
Tc 3.824 -1.543 2.401
Tc 2.281 1.423 0.000
Tc 5.366 1.423 0.000
Tc 2.401 3.824 -1.543
Tc 1.423 0.000 2.281
Tc 0.000 2.281 1.423
Tc 3.824 1.543 2.401
Tc 2.401 3.824 1.543
Tc 1.423 0.000 5.366
Tc -1.543 2.401 3.824
Tc 1.543 2.401 3.824
Tc 0.000 5.366 1.423
B 3.824 0.000 0.878
B 3.824 2.946 0.000
B 0.878 3.824 0.000
B 2.946 0.000 3.824
B 0.000 0.878 3.824
B 0.000 3.824 2.946
Ru 0.000 0.000 0.000
```

**E**: -9.39 eV/atom
**Size of the total moment**: 0.000 μB per formula unit

No. 2
DFT (PBE-GGA) results for a geometry-optimized NpSc2Ru4 structure.

```
7
Lattice="-2.187 2.187 6.456 2.187 -2.187 6.456 2.187 2.187 -6.456" Properties=species:S:1:pos:R:3 pbc="T T T"
Np 0.000 0.000 0.000
Sc 0.000 0.000 3.334
Sc 0.000 0.000 9.578
Ru 2.187 0.000 1.474
Ru 2.187 0.000 4.983
Ru 0.000 2.187 1.474
Ru 0.000 2.187 4.983
```

**E**: -9.10 eV/atom
**Size of the total moment**: 1.144 μB per formula unit

No. 3
DFT (PBE-GGA) results for a geometry-optimized HgRh2 structure.

```
6
Lattice="-1.842 1.842 8.206 1.842 -1.842 8.206 1.842 1.842 -8.206" Properties=species:S:1:pos:R:3 pbc="T T T"
Hg 1.842 0.921 2.052
Hg 0.000 0.921 6.155
Rh 1.842 -0.921 4.924
Rh 1.842 -0.921 7.385
Rh 0.000 2.764 0.821
Rh 0.000 2.764 3.282
```

**E**: -4.48 eV/atom
**Size of the total moment**: 0.000 μB per formula unit

No. 4
DFT (PBE-GGA) results for a geometry-optimized GaNi3Se structure.

```
5
Lattice="4.374 0.000 0.000 0.000 4.374 0.000 0.000 0.000 4.374" Properties=species:S:1:pos:R:3 pbc="T T T"
Ga 0.000 0.000 0.000
Ni 0.000 2.187 2.187
Ni 2.187 0.000 2.187
Ni 2.187 2.187 0.000
Se 2.187 2.187 2.187
```

**Formation energy without anion corrections**: 1.8 eV per formula unit
**ΔE to the lowest computed polymorph**: 0.000 eV/atom
**Size of the total moment**: 0.989 μB per formula unit

No. 5
DFT (PBE-GGA) results for a geometry-optimized Zn2InNi structure.

```
4
Lattice="3.132 0.000 0.000 0.000 3.345 0.000 0.000 0.000 6.003" Properties=species:S:1:pos:R:3 pbc="T T T"
Zn 0.000 0.000 0.000
Zn 1.566 1.672 1.375
In 1.566 1.672 4.137
Ni 0.000 0.000 2.561
```

**E**: -2.79 eV/atom
**Size of the total moment**: 0.000 μB per formula unit

No. 6
DFT (PBE-GGA) results for a geometry-optimized Ca2RuBr structure.

```
4
Lattice="-1.755 1.821 8.060 1.755 -1.821 8.060 1.755 1.821 -8.060" Properties=species:S:1:pos:R:3 pbc="T T T"
Ca 0.000 0.000 0.000
Ca 0.000 1.821 4.531
Ru 1.755 0.000 5.988
Br 0.000 0.000 9.903
```

**Formation energy without anion corrections**: -1.6 eV per formula unit
**ΔE to the lowest computed polymorph**: 0.121 eV/atom
**Size of the total moment**: 0.253 μB per formula unit

No. 7
DFT (PBE-GGA) results for a geometry-optimized CrPRu structure.

```
6
Lattice="4.199 -1.517 0.000 4.199 1.517 0.000 -1.281 0.000 6.053" Properties=species:S:1:pos:R:3 pbc="T T T"
Cr 0.000 0.000 0.000
Cr 4.806 0.000 1.761
P 2.334 0.000 0.585
P 3.470 0.000 4.283
Ru 1.031 0.000 4.239
Ru 7.101 0.000 2.436
```

**E**: -8.39 eV/atom
**Size of the total moment**: 0.444 μB per formula unit

No. 8
DFT (PBE-GGA) results for a geometry-optimized K6Bi2Au structure.

```
9
Lattice="7.496 -4.330 0.000 7.496 4.330 0.000 -0.005 0.000 6.073" Properties=species:S:1:pos:R:3 pbc="T T T"
K 6.079 2.469 4.550
K 8.910 2.469 1.522
K 4.640 0.000 1.528
K 10.348 0.000 4.545
K 6.079 -2.469 4.550
K 8.910 -2.469 1.522
Bi 2.485 0.000 4.575
Bi 12.504 0.000 1.498
Au 7.494 0.000 3.036
```

**E**: -2.23 eV/atom
**Size of the total moment**: 1.111 μB per formula unit